Computed, not measured: a relaxed CaAcLuMg crystal at the PBE level of DFT.

Output
size of the total moment	0.00	μB per formula unit
uncorrected energy	-2.98	eV/atom
formation energy from the elements	0.08	eV per atom

Cell lengths 5.7975, 5.7975, 5.7975 Å; angles 60.00, 60.00, 60.00 degrees
Atoms (fractional coordinates):
Mg (0.2500, 0.2500, 0.2500)
Ac (0.0000, 0.0000, 0.0000)
Lu (0.7500, 0.7500, 0.7500)
Ca (0.5000, 0.5000, 0.5000)